Below is a geometry-optimized Pm2BiTe structure, with properties calculated at the PBE-GGA level.

Lattice parameters (Å, degrees): 3.834 3.834 8.093 90.00 90.00 90.00
Sites, in units of the cell vectors:
Te  0.500  0.500  0.000
Bi  0.500  0.500  0.500
Pm  0.000  0.000  0.757
Pm  0.000  0.000  0.243

Calculated values
SG = P4/mmm (123)
formation energy without anion corrections = -3.93 eV per formula unit
distance to the lowest polymorph of the same formula = 84 kJ/mol of formula units

***

Below is a geometry-optimized SnBiIr2Pd structure, with properties calculated at the PBE-GGA level.

Lattice parameters (Å, degrees): 5.025 5.053 5.025 90.00 90.00 90.00
Sites, in units of the cell vectors:
Ir  0.000  0.000  0.500
Ir  0.500  0.000  0.000
Bi  0.000  0.000  0.000
Pd  0.000  0.500  0.000
Sn  0.500  0.500  0.500

Calculated values
SG = P4/mmm (123)
total DFT energy (no corrections) = -4.8509 eV/atom

***

Below is a geometry-optimized AgTe2F structure, with properties calculated at the PBE-GGA level.

Lattice parameters (Å, degrees): 4.372 4.372 10.250 77.69 77.69 90.00
Sites, in units of the cell vectors:
Te  0.628  0.125  0.250
Te  0.122  0.625  0.250
Te  0.375  0.372  0.750
Te  0.875  0.878  0.750
Ag  0.000  0.000  0.000
Ag  0.750  0.250  0.500
F  0.500  0.500  0.000
F  0.250  0.750  0.500

Calculated values
SG = I-42d (122)
formation energy without anion corrections = -1.29 eV per formula unit
distance to the lowest polymorph of the same formula = 10 kJ/mol of formula units

***

| no. | density (g/cm3) | calculated volume (Å³/f.u.) |
| --- | --- | --- |
| 1 | 8.745 | 119 |
| 2 | 10.652 | 128 |
| 3 | 6.794 | 93 |